No. 1
A plane-wave DFT calculation with PBE was carried out for a geometry-optimized ZrB2PtW structure.

Unit cell a=4.217 b=4.912 c=4.217 alpha=90.00 beta=90.00 gamma=90.00
Fractional positions:
Zr: 0.000 0.000 0.000
B: 0.000 0.000 0.500
B: 0.500 0.000 0.000
W: 0.500 0.500 0.500
Pt: 0.000 0.500 0.000

No. 2
A plane-wave DFT calculation with PBE was carried out for a geometry-optimized Y2BPt structure.

Unit cell a=5.726 b=5.726 c=7.839 alpha=68.58 beta=68.58 gamma=90.00
Fractional positions:
Y: 0.583 0.125 0.250
Y: 0.167 0.625 0.250
Y: 0.375 0.417 0.750
Y: 0.875 0.833 0.750
B: 0.500 0.500 0.000
B: 0.250 0.750 0.500
Pt: 0.000 0.000 0.000
Pt: 0.750 0.250 0.500

Summary:
E above lowest polymorph (eV/f.u.): 1.95

No. 3
A plane-wave DFT calculation with PBE was carried out for a geometry-optimized YBPt2 structure.

Unit cell a=3.279 b=3.279 c=8.095 alpha=78.31 beta=78.31 gamma=60.00
Fractional positions:
Y: 0.000 0.000 0.000
B: 0.500 0.500 0.500
Pt: 0.120 0.120 0.640
Pt: 0.880 0.880 0.360

No. 4
A plane-wave DFT calculation with PBE was carried out for a geometry-optimized YB2Pt2 structure.

Unit cell a=3.985 b=3.985 c=5.346 alpha=68.12 beta=68.12 gamma=90.00
Fractional positions:
Y: 0.000 0.000 0.000
B: 0.750 0.250 0.500
B: 0.250 0.750 0.500
Pt: 0.351 0.351 0.299
Pt: 0.649 0.649 0.701

No. 5
A plane-wave DFT calculation with PBE was carried out for a geometry-optimized Y3B2Pt9 structure.

Unit cell a=6.019 b=6.019 c=14.713 alpha=90.00 beta=90.00 gamma=120.00
Fractional positions:
Y: 0.000 0.000 0.750
Y: 0.000 0.000 0.250
Y: 0.667 0.333 0.921
Y: 0.333 0.667 0.079
Y: 0.333 0.667 0.421
Y: 0.667 0.333 0.579
B: 0.667 0.333 0.158
B: 0.333 0.667 0.842
B: 0.333 0.667 0.658
B: 0.667 0.333 0.342
Pt: 0.506 0.012 0.750
Pt: 0.988 0.494 0.750
Pt: 0.506 0.494 0.750
Pt: 0.494 0.988 0.250
Pt: 0.012 0.506 0.250
Pt: 0.494 0.506 0.250
Pt: 0.160 0.320 0.919
Pt: 0.680 0.840 0.919
Pt: 0.160 0.840 0.919
Pt: 0.840 0.680 0.081
Pt: 0.320 0.160 0.081
Pt: 0.840 0.160 0.081
Pt: 0.840 0.680 0.419
Pt: 0.320 0.160 0.419
Pt: 0.840 0.160 0.419
Pt: 0.160 0.320 0.581
Pt: 0.680 0.840 0.581
Pt: 0.160 0.840 0.581

No. 6
A plane-wave DFT calculation with PBE was carried out for a geometry-optimized Y2BPt structure.

Unit cell a=4.823 b=4.823 c=4.823 alpha=60.00 beta=60.00 gamma=60.00
Fractional positions:
Y: 0.250 0.250 0.250
Y: 0.750 0.750 0.750
B: 0.000 0.000 0.000
Pt: 0.500 0.500 0.500

Summary:
E above lowest polymorph (eV/f.u.): 0.00

No. 7
A plane-wave DFT calculation with PBE was carried out for a geometry-optimized YB4Pt12 structure.

Unit cell a=6.903 b=6.903 c=6.903 alpha=109.47 beta=109.47 gamma=109.47
Fractional positions:
Y: 0.000 0.000 0.000
B: 0.000 0.500 0.000
B: 0.500 0.000 0.000
B: 0.500 0.500 0.500
B: 0.000 0.000 0.500
Pt: 0.821 0.322 0.143
Pt: 0.322 0.502 0.179
Pt: 0.857 0.179 0.678
Pt: 0.322 0.143 0.821
Pt: 0.143 0.821 0.322
Pt: 0.678 0.498 0.821
Pt: 0.502 0.179 0.322
Pt: 0.498 0.821 0.678
Pt: 0.678 0.857 0.179
Pt: 0.821 0.678 0.498
Pt: 0.179 0.322 0.502
Pt: 0.179 0.678 0.857

No. 8
A plane-wave DFT calculation with PBE was carried out for a geometry-optimized YBPt2 structure.

Unit cell a=6.942 b=6.942 c=5.694 alpha=52.44 beta=52.44 gamma=90.00
Fractional positions:
Y: 0.000 0.000 0.000
Y: 0.750 0.250 0.500
B: 0.500 0.500 0.000
B: 0.250 0.750 0.500
Pt: 0.510 0.125 0.250
Pt: 0.240 0.625 0.250
Pt: 0.375 0.490 0.750
Pt: 0.875 0.760 0.750

No. 9
A plane-wave DFT calculation with PBE was carried out for a geometry-optimized Y2B2Pt structure.

Unit cell a=6.379 b=6.379 c=3.877 alpha=90.00 beta=90.00 gamma=90.00
Fractional positions:
Y: 0.183 0.683 0.500
Y: 0.683 0.817 0.500
Y: 0.817 0.317 0.500
Y: 0.317 0.183 0.500
B: 0.402 0.902 0.000
B: 0.902 0.598 0.000
B: 0.598 0.098 0.000
B: 0.098 0.402 0.000
Pt: 0.000 0.000 0.000
Pt: 0.500 0.500 0.000

No. 10
A plane-wave DFT calculation with PBE was carried out for a geometry-optimized YB2Pt structure.

Unit cell a=4.227 b=4.227 c=4.227 alpha=60.00 beta=60.00 gamma=60.00
Fractional positions:
Y: 0.000 0.000 0.000
B: 0.250 0.250 0.250
B: 0.750 0.750 0.750
Pt: 0.500 0.500 0.500

Summary:
E above lowest polymorph (eV/f.u.): 2.12

No. 11
A plane-wave DFT calculation with PBE was carried out for a geometry-optimized YBPt2 structure.

Unit cell a=4.551 b=4.551 c=4.551 alpha=60.00 beta=60.00 gamma=60.00
Fractional positions:
Y: 0.500 0.500 0.500
B: 0.000 0.000 0.000
Pt: 0.250 0.250 0.250
Pt: 0.750 0.750 0.750

No. 12
A plane-wave DFT calculation with PBE was carried out for a geometry-optimized YB2Pt structure.

Unit cell a=4.151 b=4.151 c=7.785 alpha=74.54 beta=74.54 gamma=90.00
Fractional positions:
Y: 0.500 0.500 0.000
Y: 0.250 0.750 0.500
B: 0.875 0.125 0.250
B: 0.875 0.625 0.250
B: 0.375 0.125 0.750
B: 0.875 0.125 0.750
Pt: 0.000 0.000 0.000
Pt: 0.750 0.250 0.500

Summary:
E above lowest polymorph (eV/f.u.): 0.00

| no. | raw total energy (eV/atom) | formation enthalpy at 0 K (eV/atom) |
| --- | --- | --- |
| 1 | -6.189 | 1.99 |
| 2 | -6.295 | 0.12 |
| 3 | -6.405 | -0.10 |
| 4 | -6.951 | -0.57 |
| 5 | -7.124 | -0.90 |
| 6 | -6.784 | -0.37 |
| 7 | -6.578 | -0.36 |
| 8 | -6.991 | -0.69 |
| 9 | -7.026 | -0.56 |
| 10 | -6.283 | 0.18 |
| 11 | -6.260 | 0.05 |
| 12 | -6.813 | -0.35 |